Record 1
PdWI2N | PBE-GGA | optimized geometry

Cell and atoms, written as CIF:
```
data_PdWI2N
_chemical_formula_sum 'Pd1 W1 I2 N1'
_cell_length_a 5.701
_cell_length_b 5.701
_cell_length_c 3.682
_cell_angle_alpha 90.00
_cell_angle_beta 90.00
_cell_angle_gamma 90.00
_symmetry_space_group_name_H-M 'P 4/m m m'
_symmetry_Int_Tables_number 123
_symmetry_space_group_name_Hall '-P 4 2'
loop_
_atom_site_label
_atom_site_fract_x
_atom_site_fract_y
_atom_site_fract_z
Pd1 0.000 0.000 0.000
W1 0.500 0.500 0.500
I1 0.000 0.500 0.000
N1 0.000 0.000 0.500
```

Calculated values
As for the total energy: -21.67 eV/f.u. The value obtained for the formation energy from raw total energies is 1.5807 eV per atom. The polymorph energy (0 for the lowest one) comes out at 996.5 meV per atom.



Record 2
K2SiAg | PBE-GGA | optimized geometry

Cell and atoms, written as CIF:
```
data_K2SiAg
_chemical_formula_sum 'K6 Si3 Ag3'
_cell_length_a 3.4783
_cell_length_b 3.4783
_cell_length_c 33.0445
_cell_angle_alpha 90.00
_cell_angle_beta 90.00
_cell_angle_gamma 120.00
_symmetry_space_group_name_H-M 'R -3 m'
_symmetry_Int_Tables_number 166
_symmetry_space_group_name_Hall '-R 3 2"'
loop_
_atom_site_label
_atom_site_fract_x
_atom_site_fract_y
_atom_site_fract_z
K1 0.0000 0.0000 0.2494
Si1 0.0000 0.0000 0.5000
Ag1 0.0000 0.0000 0.0000
```

Calculated values
As for the total energy: -8.31 eV/f.u. The value obtained for the formation energy from raw total energies is 0.5409 eV per atom.



Record 3
YTaSi2As | PBE-GGA | optimized geometry

Cell and atoms, written as CIF:
```
data_YTaSi2As
_chemical_formula_sum 'Y1 Ta1 Si2 As1'
_cell_length_a 4.826
_cell_length_b 4.826
_cell_length_c 4.805
_cell_angle_alpha 90.00
_cell_angle_beta 90.00
_cell_angle_gamma 90.00
_symmetry_space_group_name_H-M 'P 4/m m m'
_symmetry_Int_Tables_number 123
_symmetry_space_group_name_Hall '-P 4 2'
loop_
_atom_site_label
_atom_site_fract_x
_atom_site_fract_y
_atom_site_fract_z
Y1 0.000 0.000 0.000
Ta1 0.500 0.500 0.000
Si1 0.000 0.500 0.500
As1 0.500 0.500 0.500
```

Calculated values
As for the total energy: -30.52 eV/f.u. The value obtained for the formation energy from raw total energies is 0.6582 eV per atom.



Record 4
Pm2GaCo | PBE-GGA | optimized geometry

Cell and atoms, written as CIF:
```
data_Pm2GaCo
_chemical_formula_sum 'Pm2 Ga1 Co1'
_cell_length_a 3.537
_cell_length_b 3.537
_cell_length_c 7.286
_cell_angle_alpha 90.00
_cell_angle_beta 90.00
_cell_angle_gamma 90.00
_symmetry_space_group_name_H-M 'P 4/m m m'
_symmetry_Int_Tables_number 123
_symmetry_space_group_name_Hall '-P 4 2'
loop_
_atom_site_label
_atom_site_fract_x
_atom_site_fract_y
_atom_site_fract_z
Pm1 0.000 0.000 0.231
Ga1 0.500 0.500 0.500
Co1 0.500 0.500 0.000
```

Calculated values
For the energy of formation, the calculation gives -1.05 eV/f.u. As for the total energy: -20.69 eV/f.u.



Record 5
Y4FeTc | PBE-GGA | optimized geometry

Cell and atoms, written as CIF:
```
data_Y4FeTc
_chemical_formula_sum 'Y16 Fe4 Tc4'
_cell_length_a 8.467
_cell_length_b 8.467
_cell_length_c 8.467
_cell_angle_alpha 90.00
_cell_angle_beta 90.00
_cell_angle_gamma 90.00
_symmetry_space_group_name_H-M 'F -4 3 m'
_symmetry_Int_Tables_number 216
_symmetry_space_group_name_Hall 'F -4 2 3'
loop_
_atom_site_label
_atom_site_fract_x
_atom_site_fract_y
_atom_site_fract_z
Y1 0.124 0.124 0.376
Fe1 0.000 0.000 0.000
Tc1 0.250 0.250 0.750
```

Calculated values
For the energy of formation, the calculation gives 6.58 eV/f.u. As for the total energy: -38.10 eV/f.u.



Record 6
RbMn2Tl | PBE-GGA | optimized geometry

Cell and atoms, written as CIF:
```
data_RbMn2Tl
_chemical_formula_sum 'Rb4 Mn8 Tl4'
_cell_length_a 7.469
_cell_length_b 7.469
_cell_length_c 7.469
_cell_angle_alpha 90.00
_cell_angle_beta 90.00
_cell_angle_gamma 90.00
_symmetry_space_group_name_H-M 'F m -3 m'
_symmetry_Int_Tables_number 225
_symmetry_space_group_name_Hall '-F 4 2 3'
loop_
_atom_site_label
_atom_site_fract_x
_atom_site_fract_y
_atom_site_fract_z
Rb1 0.000 0.000 0.000
Mn1 0.250 0.250 0.250
Tl1 0.000 0.000 0.500
```

Calculated values
For the energy of formation, the calculation gives 3.91 eV/f.u. As for the total energy: -17.77 eV/f.u. The polymorph energy (0 for the lowest one) comes out at 135.3 meV per atom.



Record 7
Re4SbTe | PBE-GGA | optimized geometry

Cell and atoms, written as CIF:
```
data_Re4SbTe
_chemical_formula_sum 'Re16 Sb4 Te4'
_cell_length_a 7.602
_cell_length_b 7.602
_cell_length_c 7.602
_cell_angle_alpha 90.00
_cell_angle_beta 90.00
_cell_angle_gamma 90.00
_symmetry_space_group_name_H-M 'F -4 3 m'
_symmetry_Int_Tables_number 216
_symmetry_space_group_name_Hall 'F -4 2 3'
loop_
_atom_site_label
_atom_site_fract_x
_atom_site_fract_y
_atom_site_fract_z
Re1 0.125 0.125 0.125
Sb1 0.250 0.250 0.750
Te1 0.000 0.000 0.500
```

Calculated values
As for the total energy: -51.46 eV/f.u. The value obtained for the formation energy from raw total energies is 0.9333 eV per atom.



Record 8
Te3C | PBE-GGA | optimized geometry

Cell and atoms, written as CIF:
```
data_Te3C
_chemical_formula_sum 'Te12 C4'
_cell_length_a 8.213
_cell_length_b 19.017
_cell_length_c 3.185
_cell_angle_alpha 90.00
_cell_angle_beta 90.00
_cell_angle_gamma 90.00
_symmetry_space_group_name_H-M 'C m c m'
_symmetry_Int_Tables_number 63
_symmetry_space_group_name_Hall '-C 2c 2'
loop_
_atom_site_label
_atom_site_fract_x
_atom_site_fract_y
_atom_site_fract_z
Te1 0.000 0.197 0.250
Te2 0.195 0.379 0.250
C1 0.000 0.392 0.750
```

Calculated values
As for the total energy: -14.16 eV/f.u. The value obtained for the formation energy from raw total energies is 1.1217 eV per atom. The polymorph energy (0 for the lowest one) comes out at 316.9 meV per atom.



Record 9
Li3NbPb2F12 | PBE-GGA | optimized geometry

Cell and atoms, written as CIF:
```
data_Li3NbPb2F12
_chemical_formula_sum 'Li9 Nb3 Pb6 F36'
_cell_length_a 6.0686
_cell_length_b 6.0686
_cell_length_c 28.3077
_cell_angle_alpha 90.00
_cell_angle_beta 90.00
_cell_angle_gamma 120.00
_symmetry_space_group_name_H-M 'R -3 m'
_symmetry_Int_Tables_number 166
_symmetry_space_group_name_Hall '-R 3 2"'
loop_
_atom_site_label
_atom_site_fract_x
_atom_site_fract_y
_atom_site_fract_z
Li1 0.0000 0.5000 0.0000
Nb1 0.0000 0.0000 0.5000
Pb1 0.0000 0.0000 0.0785
F1 0.0209 0.5104 0.3675
F2 0.0340 0.5170 0.1266
```

Calculated values
As for the total energy: -94.34 eV/f.u. The value obtained for the formation energy from raw total energies is -2.7033 eV per atom.



Record 10
Pm12Sn5Ir2 | PBE-GGA | optimized geometry

Cell and atoms, written as CIF:
```
data_Pm12Sn5Ir2
_chemical_formula_sum 'Pm24 Sn10 Ir4'
_cell_length_a 17.740
_cell_length_b 7.724
_cell_length_c 9.901
_cell_angle_alpha 90.00
_cell_angle_beta 105.76
_cell_angle_gamma 90.00
_symmetry_space_group_name_H-M 'C 1 2/m 1'
_symmetry_Int_Tables_number 12
_symmetry_space_group_name_Hall '-C 2y'
loop_
_atom_site_label
_atom_site_fract_x
_atom_site_fract_y
_atom_site_fract_z
Pm1 0.003 0.000 0.244
Pm2 0.004 0.500 0.825
Pm3 0.150 0.255 0.574
Pm4 0.161 0.238 0.082
Sn1 0.000 0.500 0.500
Sn2 0.190 0.000 0.832
Sn3 0.197 0.000 0.361
Ir1 0.000 0.206 0.000
```

Calculated values
For the energy of formation, the calculation gives -8.98 eV/f.u. As for the total energy: -103.72 eV/f.u.



Record 11
HfTl2Rh4 | PBE-GGA | optimized geometry

Cell and atoms, written as CIF:
```
data_HfTl2Rh4
_chemical_formula_sum 'Hf2 Tl4 Rh8'
_cell_length_a 4.785
_cell_length_b 4.785
_cell_length_c 13.771
_cell_angle_alpha 90.00
_cell_angle_beta 90.00
_cell_angle_gamma 90.00
_symmetry_space_group_name_H-M 'I 4/m m m'
_symmetry_Int_Tables_number 139
_symmetry_space_group_name_Hall '-I 4 2'
loop_
_atom_site_label
_atom_site_fract_x
_atom_site_fract_y
_atom_site_fract_z
Hf1 0.000 0.000 0.000
Tl1 0.000 0.000 0.372
Rh1 0.000 0.000 0.177
Rh2 0.000 0.500 0.000
```

Calculated values
For the energy of formation, the calculation gives 3.66 eV/f.u. As for the total energy: -40.44 eV/f.u.